No. 1
Compound: TaMo3
Source: Alexandria
Functional: PBE
Structure: relaxed Values from VASP.

Structure (Quantum ESPRESSO input):
```
&SYSTEM
  ibrav = 0, nat = 4, ntyp = 2
/
ATOMIC_SPECIES
Ta 180.95 Ta.upf
Mo 95.94 Mo.upf
CELL_PARAMETERS angstrom
-2.0304 2.0304 4.0588
2.0304 -2.0304 4.0588
2.0304 2.0304 -4.0588
ATOMIC_POSITIONS angstrom
Ta 0.0000 0.0000 0.0000
Mo 2.0304 0.0000 2.0294
Mo 0.0000 0.0000 4.0588
Mo 0.0000 2.0304 2.0294
```

## Properties
magnetic moment	0.000	μB per atom
raw total energy	-0.7875	Ry/atom
formation energy	0.372	eV/atom

No. 2
Compound: Ti2BeV
Source: Alexandria
Functional: PBE
Structure: relaxed Values from VASP.

Structure (Quantum ESPRESSO input):
```
&SYSTEM
  ibrav = 0, nat = 4, ntyp = 3
/
ATOMIC_SPECIES
Ti 47.87 Ti.upf
Be 9.01 Be.upf
V 50.94 V.upf
CELL_PARAMETERS angstrom
3.8711 0.0000 0.0000
0.0000 3.8711 0.0000
0.0000 0.0000 3.7244
ATOMIC_POSITIONS angstrom
Ti 0.0000 1.9355 0.0000
Ti 1.9355 0.0000 0.0000
Be 0.0000 0.0000 1.8622
V 1.9355 1.9355 1.8622
```

## Properties
magnetic moment	0.000	μB per atom
raw total energy	-0.5256	Ry/atom
formation energy	0.007	eV/atom

Which formula does entry 1 have? TaMo3

Which value of formation energy does entry 2 give? 0.007 eV/atom